Density functional theory data (PBE) for a geometry-optimized Na2CrC2 structure.

V ... 12.86 Å³/atom
M_tot ... 1.8 μB per formula unit
DFT formation energy ... 2.02 eV per atom
ΔE to the lowest computed polymorph ... 0 meV per atom

Cell: 7.095 7.095 2.556 Å, 90.00 90.00 90.00°
Space group P4/mbm (No. 127)
Unique sites:
Na (0.119, 0.381, 0.000) x4
Cr (0.000, 0.000, 0.000) x2
C (0.182, 0.682, 0.500) x4